A geometry-optimized CsTlInHg2 structure, computed with PBE-GGA.

Output
**E above lowest polymorph**: 103 meV/atom
**Total magnetic moment**: 0.0 μB per formula unit
**Formation energy from the elements**: -0.03 eV per atom

Cell lengths 5.7803, 5.7803, 6.0903 Å; angles 90.00, 90.00, 90.00 degrees
Space group P4/mmm (No. 123)
One atom of each set of equivalent atoms:
Cs1 0.0000 0.0000 0.0000
Tl1 0.5000 0.5000 0.0000
In1 0.5000 0.5000 0.5000
Hg1 0.0000 0.5000 0.5000